Record 1
Density functional theory data (PBE) for TaTcIr2 after structural relaxation.

a b c (Å): 4.800 4.800 4.858
angles (deg): 99.57 99.57 33.96
Sites, in units of the cell vectors:
Ta: 0.000 0.000 0.000
Tc: 0.757 0.757 0.295
Ir: 0.251 0.251 0.768
Ir: 0.500 0.500 0.494

Calculated values
* electronic total energy: -10.33 eV per atom
* energy relative to the lowest polymorph listed for this composition: 166 meV per atom

Record 2
Density functional theory data (PBE) for TlTePb2 after structural relaxation.

a b c (Å): 3.553 3.553 10.051
angles (deg): 90.00 90.00 90.00
Sites, in units of the cell vectors:
Tl: 0.000 0.000 0.000
Te: 0.500 0.500 0.757
Pb: 0.000 0.000 0.510
Pb: 0.500 0.500 0.269

Calculated values
* electronic total energy: -3.22 eV per atom
* energy relative to the lowest polymorph listed for this composition: 109 meV per atom
* raw formation energy: 1.0 kJ/mol of atoms

Record 3
Density functional theory data (PBE) for SmErTm5Sc2 after structural relaxation.

a b c (Å): 10.965 10.965 9.234
angles (deg): 90.00 90.00 150.77
Sites, in units of the cell vectors:
Sm: 0.186 0.814 0.500
Sm: 0.814 0.186 0.000
Er: 0.403 0.597 0.902
Er: 0.597 0.403 0.402
Tm: 0.010 0.990 0.499
Tm: 0.265 0.735 0.819
Tm: 0.308 0.692 0.202
Tm: 0.392 0.608 0.529
Tm: 0.469 0.531 0.231
Tm: 0.531 0.469 0.731
Tm: 0.608 0.392 0.029
Tm: 0.692 0.308 0.702
Tm: 0.735 0.265 0.319
Tm: 0.990 0.010 0.999
Sc: 0.113 0.887 0.806
Sc: 0.138 0.862 0.179
Sc: 0.862 0.138 0.679
Sc: 0.887 0.113 0.306

Calculated values
* electronic total energy: -4.75 eV per atom

Record 4
Density functional theory data (PBE) for PtPbW2 after structural relaxation.

a b c (Å): 2.909 3.159 8.408
angles (deg): 90.00 96.11 90.00
Sites, in units of the cell vectors:
Pt: 0.000 0.000 0.000
Pb: 0.790 0.500 0.700
W: 0.278 0.000 0.419
W: 0.546 0.500 0.208

Calculated values
* electronic total energy: -8.57 eV per atom

Record 5
Density functional theory data (PBE) for AlHgSb after structural relaxation.

a b c (Å): 7.001 6.776 3.413
angles (deg): 79.36 72.01 28.63
Sites, in units of the cell vectors:
Al: 0.000 0.000 0.000
Hg: 0.351 0.351 0.649
Sb: 0.654 0.654 0.346

Calculated values
* electronic total energy: -2.53 eV per atom
* energy relative to the lowest polymorph listed for this composition: 127 meV per atom
* raw formation energy: 18.8 kJ/mol of atoms

Record 6
Density functional theory data (PBE) for RbMnCl2 after structural relaxation.

a b c (Å): 9.452 9.452 9.452
angles (deg): 24.25 24.25 24.25
Sites, in units of the cell vectors:
Rb: 0.000 0.000 0.000
Mn: 0.500 0.500 0.500
Cl: 0.119 0.119 0.119
Cl: 0.881 0.881 0.881

Calculated values
* electronic total energy: -4.22 eV per atom
* energy relative to the lowest polymorph listed for this composition: 127 meV per atom
* raw formation energy: -73.8 kJ/mol of atoms

Record 7
Density functional theory data (PBE) for Sr2AcCd2Sn2 after structural relaxation.

a b c (Å): 10.183 10.183 10.183
angles (deg): 29.30 29.30 29.30
Sites, in units of the cell vectors:
Sr: 0.133 0.133 0.133
Sr: 0.867 0.867 0.867
Ac: 0.000 0.000 0.000
Cd: 0.415 0.415 0.415
Cd: 0.585 0.585 0.585
Sn: 0.263 0.263 0.263
Sn: 0.737 0.737 0.737

Calculated values
* electronic total energy: -2.87 eV per atom

Record 8
Density functional theory data (PBE) for CeThNb after structural relaxation.

a b c (Å): 6.299 6.299 5.895
angles (deg): 97.19 97.19 45.16
Sites, in units of the cell vectors:
Ce: 0.085 0.085 0.272
Ce: 0.915 0.915 0.728
Th: 0.375 0.375 0.152
Th: 0.625 0.625 0.848
Nb: 0.232 0.232 0.629
Nb: 0.768 0.768 0.371

Calculated values
* electronic total energy: -7.58 eV per atom
* energy relative to the lowest polymorph listed for this composition: 40 meV per atom

Record 9
Density functional theory data (PBE) for LiVZn after structural relaxation.

a b c (Å): 4.333 4.333 5.153
angles (deg): 90.00 90.00 119.84
Sites, in units of the cell vectors:
Li: 0.167 0.833 0.750
Li: 0.833 0.167 0.250
V: 0.167 0.833 0.250
V: 0.833 0.167 0.750
Zn: 0.500 0.500 0.000
Zn: 0.500 0.500 0.500

Calculated values
* electronic total energy: -3.70 eV per atom
* energy relative to the lowest polymorph listed for this composition: 391 meV per atom

Record 10
Density functional theory data (PBE) for Pr5HoZn6 after structural relaxation.

a b c (Å): 5.195 7.379 8.256
angles (deg): 90.00 108.18 90.00
Sites, in units of the cell vectors:
Pr: 0.000 0.000 0.000
Pr: 0.331 0.000 0.662
Pr: 0.335 0.500 0.669
Pr: 0.665 0.500 0.331
Pr: 0.669 0.000 0.338
Ho: 0.000 0.500 0.000
Zn: 0.162 0.256 0.324
Zn: 0.162 0.744 0.324
Zn: 0.500 0.260 0.000
Zn: 0.500 0.740 0.000
Zn: 0.838 0.256 0.676
Zn: 0.838 0.744 0.676

Calculated values
* electronic total energy: -3.31 eV per atom

Record 11
Density functional theory data (PBE) for Sm2NpAs3Rh4 after structural relaxation.

a b c (Å): 4.150 4.150 11.247
angles (deg): 90.00 90.00 90.00
Sites, in units of the cell vectors:
Sm: 0.000 0.500 0.222
Sm: 0.500 0.000 0.778
Np: 0.000 0.000 0.500
As: 0.000 0.500 0.870
As: 0.500 0.000 0.130
As: 0.500 0.500 0.500
Rh: 0.000 0.000 0.000
Rh: 0.000 0.500 0.653
Rh: 0.500 0.000 0.347
Rh: 0.500 0.500 0.000

Calculated values
* electronic total energy: -7.41 eV per atom

Record 12
Density functional theory data (PBE) for RbCd5Cl11 after structural relaxation.

a b c (Å): 8.582 8.582 8.099
angles (deg): 102.73 102.73 111.08
Sites, in units of the cell vectors:
Rb: 0.000 0.000 0.000
Cd: 0.077 0.367 0.633
Cd: 0.367 0.077 0.633
Cd: 0.500 0.500 0.000
Cd: 0.633 0.923 0.367
Cd: 0.923 0.633 0.367
Cl: 0.000 0.000 0.500
Cl: 0.127 0.704 0.675
Cl: 0.164 0.417 0.964
Cl: 0.296 0.873 0.325
Cl: 0.397 0.397 0.636
Cl: 0.417 0.164 0.964
Cl: 0.583 0.836 0.036
Cl: 0.603 0.603 0.364
Cl: 0.704 0.127 0.675
Cl: 0.836 0.583 0.036
Cl: 0.873 0.296 0.325

Calculated values
* electronic total energy: -2.68 eV per atom
* raw formation energy: -111.9 kJ/mol of atoms

Record 13
Density functional theory data (PBE) for La3Ge4Rh after structural relaxation.

a b c (Å): 8.431 8.431 8.431
angles (deg): 148.04 138.48 53.33
Sites, in units of the cell vectors:
La: 0.000 0.000 0.000
La: 0.308 0.808 0.500
La: 0.692 0.192 0.500
Ge: 0.094 0.381 0.714
Ge: 0.333 0.619 0.714
Ge: 0.667 0.381 0.286
Ge: 0.906 0.619 0.286
Rh: 0.500 0.500 0.000

Calculated values
* electronic total energy: -5.79 eV per atom

Record 14
Density functional theory data (PBE) for TbInGaAu after structural relaxation.

a b c (Å): 4.971 4.971 4.971
angles (deg): 60.00 60.00 60.00
Sites, in units of the cell vectors:
Tb: 0.000 0.000 0.000
In: 0.500 0.500 0.500
Ga: 0.250 0.250 0.250
Au: 0.750 0.750 0.750

Calculated values
* electronic total energy: -3.96 eV per atom

Record 15
Density functional theory data (PBE) for Cr2RhBr after structural relaxation.

a b c (Å): 5.985 5.985 5.985
angles (deg): 112.53 112.53 103.51
Sites, in units of the cell vectors:
Cr: 0.104 0.625 0.979
Cr: 0.375 0.354 0.479
Cr: 0.646 0.125 0.021
Cr: 0.875 0.896 0.521
Rh: 0.000 0.000 0.000
Rh: 0.750 0.250 0.500
Br: 0.250 0.750 0.500
Br: 0.500 0.500 0.000

Calculated values
* electronic total energy: -6.34 eV per atom
* energy relative to the lowest polymorph listed for this composition: 395 meV per atom
* raw formation energy: 70.1 kJ/mol of atoms

Record 16
Density functional theory data (PBE) for Dy4Hg2Ru after structural relaxation.

a b c (Å): 6.055 6.055 8.757
angles (deg): 118.95 118.95 42.64
Sites, in units of the cell vectors:
Dy: 0.072 0.072 0.348
Dy: 0.330 0.330 0.937
Dy: 0.670 0.670 0.063
Dy: 0.928 0.928 0.652
Hg: 0.351 0.351 0.332
Hg: 0.649 0.649 0.668
Ru: 0.000 0.000 0.000

Calculated values
* electronic total energy: -4.42 eV per atom

Record 17
Density functional theory data (PBE) for SrAc6Sn4 after structural relaxation.

a b c (Å): 8.812 8.812 8.812
angles (deg): 120.95 120.95 88.36
Sites, in units of the cell vectors:
Sr: 0.000 0.000 0.000
Ac: 0.000 0.500 0.500
Ac: 0.174 0.174 0.687
Ac: 0.487 0.487 0.313
Ac: 0.500 0.000 0.500
Ac: 0.513 0.826 0.000
Ac: 0.826 0.513 0.000
Sn: 0.182 0.625 0.000
Sn: 0.375 0.375 0.558
Sn: 0.625 0.182 0.000
Sn: 0.818 0.818 0.442

Calculated values
* electronic total energy: -4.24 eV per atom

Record 18
Density functional theory data (PBE) for Ce2PaPd2Se6 after structural relaxation.

a b c (Å): 7.340 7.340 6.053
angles (deg): 90.00 90.00 120.00
Sites, in units of the cell vectors:
Ce: 0.333 0.667 0.365
Ce: 0.667 0.333 0.635
Pa: 0.000 0.000 0.000
Pd: 0.333 0.667 0.941
Pd: 0.667 0.333 0.059
Se: 0.063 0.729 0.727
Se: 0.271 0.334 0.727
Se: 0.334 0.063 0.273
Se: 0.666 0.937 0.727
Se: 0.729 0.666 0.273
Se: 0.937 0.271 0.273

Calculated values
* electronic total energy: -5.90 eV per atom
* raw formation energy: -107.6 kJ/mol of atoms

Record 19
Density functional theory data (PBE) for La2YTiO after structural relaxation.

a b c (Å): 5.133 5.133 4.631
angles (deg): 90.00 90.00 90.00
Sites, in units of the cell vectors:
La: 0.000 0.500 0.000
La: 0.500 0.000 0.000
Y: 0.000 0.000 0.500
Ti: 0.500 0.500 0.500
O: 0.000 0.000 0.000

Calculated values
* electronic total energy: -6.84 eV per atom
* energy relative to the lowest polymorph listed for this composition: 23 meV per atom
* raw formation energy: -97.3 kJ/mol of atoms

Record 20
Density functional theory data (PBE) for Al2CrI after structural relaxation.

a b c (Å): 4.702 4.702 4.702
angles (deg): 60.00 60.00 60.00
Sites, in units of the cell vectors:
Al: 0.250 0.250 0.250
Al: 0.750 0.750 0.750
Cr: 0.000 0.000 0.000
I: 0.500 0.500 0.500

Calculated values
* electronic total energy: -3.57 eV per atom
* energy relative to the lowest polymorph listed for this composition: 489 meV per atom
* raw formation energy: 105.4 kJ/mol of atoms

Record 21
Density functional theory data (PBE) for ErTh2ZrSb5 after structural relaxation.

a b c (Å): 5.246 5.246 11.173
angles (deg): 90.00 90.00 90.00
Sites, in units of the cell vectors:
Er: 0.000 0.000 0.000
Th: 0.500 0.500 0.197
Th: 0.500 0.500 0.803
Zr: 0.000 0.000 0.500
Sb: 0.000 0.000 0.258
Sb: 0.000 0.000 0.742
Sb: 0.000 0.500 0.000
Sb: 0.500 0.000 0.000
Sb: 0.500 0.500 0.500

Calculated values
* electronic total energy: -5.44 eV per atom
* raw formation energy: -4.0 kJ/mol of atoms

Record 22
Density functional theory data (PBE) for Pm4HoTm after structural relaxation.

a b c (Å): 6.704 6.704 12.124
angles (deg): 106.90 106.90 50.13
Sites, in units of the cell vectors:
Pm: 0.043 0.525 0.716
Pm: 0.199 0.701 0.549
Pm: 0.299 0.801 0.951
Pm: 0.475 0.957 0.784
Pm: 0.525 0.043 0.216
Pm: 0.701 0.199 0.049
Pm: 0.801 0.299 0.451
Pm: 0.957 0.475 0.284
Ho: 0.249 0.751 0.250
Ho: 0.751 0.249 0.750
Tm: 0.000 0.500 0.000
Tm: 0.500 0.000 0.500

Calculated values
* electronic total energy: -4.62 eV per atom
* energy relative to the lowest polymorph listed for this composition: 0 meV per atom

Record 23
Density functional theory data (PBE) for Rb2LaSiI6 after structural relaxation.

a b c (Å): 8.772 8.772 8.772
angles (deg): 118.47 118.47 92.67
Sites, in units of the cell vectors:
Rb: 0.250 0.750 0.500
Rb: 0.750 0.250 0.500
La: 0.000 0.000 0.000
Si: 0.500 0.500 0.000
I: 0.249 0.249 0.499
I: 0.249 0.751 0.000
I: 0.261 0.261 0.000
I: 0.739 0.739 0.000
I: 0.751 0.249 0.000
I: 0.751 0.751 0.501

Calculated values
* electronic total energy: -3.12 eV per atom
* raw formation energy: -93.0 kJ/mol of atoms

Record 24
Density functional theory data (PBE) for YCd2W after structural relaxation.

a b c (Å): 6.012 6.012 6.012
angles (deg): 149.79 127.67 61.62
Sites, in units of the cell vectors:
Y: 0.000 0.000 0.000
Cd: 0.273 0.773 0.500
Cd: 0.518 0.518 0.000
W: 0.755 0.255 0.500

Calculated values
* electronic total energy: -4.88 eV per atom
* energy relative to the lowest polymorph listed for this composition: 123 meV per atom